(1)
Here is a relaxed structure of LaOs from Alexandria. Energies are from PBE.

Values from the calculation:
The value obtained for the formation energy from the elements is 0.41 eV/atom.

POSCAR file:
```
LaOs
1.0
3.6422 0.0000 0.0000
0.0000 3.6422 0.0000
0.0000 0.0000 8.3616
La Os
2 2
Direct
0.2500 0.2500 0.2992
0.7500 0.7500 0.7008
0.2500 0.7500 0.0000
0.7500 0.2500 0.0000
```

---

(2)
Here is a relaxed structure of La3Os from Alexandria. Energies are from PBE.

Values from the calculation:
The value obtained for the formation energy from the elements is 0.24 eV/atom.

POSCAR file:
```
La3Os
1.0
9.3148 -5.6843 0.8950
6.6413 -5.5903 6.6723
-9.5494 2.9546 -4.4672
La Os
6 2
Direct
0.5000 0.0000 0.5000
0.0000 0.5000 0.5000
0.7500 0.2500 0.5000
0.2500 0.7500 0.5000
0.1269 0.1269 0.0000
0.8731 0.8731 0.0000
0.3755 0.3755 0.0000
0.6245 0.6245 0.0000
```

---

- Which value of formation energy from the elements does entry 1 give?
  0.41 eV/atom

---

Please write out number 2 again, unchanged.
Here is a relaxed structure of La3Os from Alexandria. Energies are from PBE.

Values from the calculation:
The value obtained for the formation energy from the elements is 0.24 eV/atom.

POSCAR file:
```
La3Os
1.0
9.3148 -5.6843 0.8950
6.6413 -5.5903 6.6723
-9.5494 2.9546 -4.4672
La Os
6 2
Direct
0.5000 0.0000 0.5000
0.0000 0.5000 0.5000
0.7500 0.2500 0.5000
0.2500 0.7500 0.5000
0.1269 0.1269 0.0000
0.8731 0.8731 0.0000
0.3755 0.3755 0.0000
0.6245 0.6245 0.0000
```

---

- What is the formation energy from the elements in the first record?
  0.41 eV/atom